This record from Alexandria via LeMat-Bulk describes a relaxed ZrZn2Cu crystal. The functional is GGA-PBE.

Properties
The value obtained for the formation enthalpy at 0 K is -0.17 eV per atom. As for the symmetry: Pmmm (47). Its density of states at the Fermi level is 0.705 states/eV/atom.

Cell: 3.031 3.107 6.739 Å, 90.00 90.00 90.00°
Fractional coordinates of all 4 atoms:
Zr1 0.500 0.500 0.250
Zn1 0.000 0.000 0.541
Zn2 0.000 0.000 0.959
Cu1 0.500 0.500 0.750